Record 1
Density functional theory data (PBE) for Nd2Y5HoEr after structural relaxation.

abc: 8.6331 8.6331 15.8023
angles: 90.00 90.00 90.00
Closest atoms and distances in Å follow each position.
Space group I4/mcm (No. 140)
Inequivalent atoms, fractional coordinates:
Nd  0.1178  0.3822  0.0000 (multiplicity 8)  1 Nd 2.88, 2 Y 3.04
Y  0.0000  0.0000  0.0000 (multiplicity 4)  4 Nd 3.45, 8 Y 3.80
Y  0.2119  0.2881  0.3598 (multiplicity 16)  1 Nd 3.04, 1 Er 3.11
Ho  0.0000  0.0000  0.2500 (multiplicity 4)  10 Y 3.54-3.95
Er  0.0000  0.5000  0.2500 (multiplicity 4)  4 Y 3.11

***

Record 2
Density functional theory data (PBE) for Nd2YHoEr after structural relaxation.

abc: 8.3818 11.6043 7.2602
angles: 90.00 90.00 90.00
Closest atoms and distances in Å follow each position.
Space group Cmcm (No. 63)
Inequivalent atoms, fractional coordinates:
Nd  0.1945  0.0000  0.0000 (multiplicity 8)  2 Ho 3.15, 1 Nd 3.26, 2 Er 3.46
Y  0.0000  0.2440  0.2500 (multiplicity 4)  1 Ho 3.28, 2 Er 3.65
Ho  0.0000  0.4737  0.7500 (multiplicity 4)  1 Er 3.05, 4 Nd 3.15, 1 Y 3.28
Er  0.0000  0.2112  0.7500 (multiplicity 4)  1 Ho 3.05

***

Record 3
Density functional theory data (PBE) for Nd6YHoEr2 after structural relaxation.

abc: 9.2439 15.3588 9.6548
angles: 90.00 97.37 90.00
Closest atoms and distances in Å follow each position.
Space group C2/c (No. 15)
Inequivalent atoms, fractional coordinates:
Nd  0.0602  0.1782  0.4466 (multiplicity 8)  7 Nd 3.45-3.82, 1 Er 3.49, 2 Y 3.68-3.83
Nd  0.1002  0.3921  0.6184 (multiplicity 8)  4 Nd 3.29-3.68, 3 Er 3.30-3.47, 2 Ho 3.45-3.57
Nd  0.2129  0.2236  0.8126 (multiplicity 8)  2 Nd 3.29-3.63, 1 Er 3.48, 1 Ho 3.48, 1 Y 3.61
Y  0.0000  0.0271  0.7500 (multiplicity 4)  4 Er 3.44-3.45, 6 Nd 3.61-3.83
Ho  0.0000  0.4111  0.2500 (multiplicity 4)  6 Nd 3.45-3.57, 2 Er 3.55
Er  0.2501  0.0500  0.0457 (multiplicity 8)  5 Nd 3.30-3.49, 2 Y 3.44-3.45, 1 Ho 3.55

***

Record 4
Density functional theory data (PBE) for Nd2Y2HoEr4 after structural relaxation.

abc: 18.6477 3.5931 9.5471
angles: 90.00 115.74 90.00
Closest atoms and distances in Å follow each position.
Space group C2/m (No. 12)
Inequivalent atoms, fractional coordinates:
Nd  0.1653  0.0000  0.0010 (multiplicity 4)  3 Er 3.54-3.55, 2 Ho 3.56, 3 Y 3.58-3.59, 4 Nd 3.59-3.64
Y  0.1466  0.5000  0.6620 (multiplicity 4)  7 Er 3.48-3.61, 3 Nd 3.58-3.59, 2 Y 3.59
Ho  0.0000  0.5000  0.0000 (multiplicity 2)  6 Er 3.54-3.55, 4 Nd 3.56, 2 Ho 3.59
Er  0.0194  0.0000  0.3341 (multiplicity 4)  4 Y 3.49-3.59, 1 Nd 3.54, 2 Ho 3.54, 5 Er 3.54-3.59
Er  0.1851  0.5000  0.3366 (multiplicity 4)  3 Y 3.48-3.61, 6 Er 3.50-3.59, 2 Nd 3.55, 1 Ho 3.55

***

Record 5
Density functional theory data (PBE) for NdY6Ho2Er3 after structural relaxation.

abc: 6.1624 10.6610 11.7891
angles: 90.00 99.98 90.00
Closest atoms and distances in Å follow each position.
Space group C2/m (No. 12)
Inequivalent atoms, fractional coordinates:
Nd  0.0000  0.0000  0.0000 (multiplicity 2)  6 Ho 3.55-3.56, 6 Y 3.57-3.58
Y  0.2485  0.3330  0.7480 (multiplicity 8)  3 Er 3.53-3.54, 6 Y 3.55-3.56, 2 Ho 3.57, 1 Nd 3.58
Y  0.2496  0.0000  0.7481 (multiplicity 4)  3 Er 3.54, 6 Y 3.55-3.56, 2 Ho 3.57, 1 Nd 3.57
Ho  0.0000  0.3334  0.0000 (multiplicity 4)  3 Ho 3.55-3.56, 3 Nd 3.55-3.56, 6 Y 3.57
Er  0.0000  0.1670  0.5000 (multiplicity 4)  6 Y 3.53-3.54, 6 Er 3.55-3.56
Er  0.0000  0.5000  0.5000 (multiplicity 2)  6 Y 3.54, 6 Er 3.55-3.56

***

Record 6
Density functional theory data (PBE) for Nd2Y3Ho6Er after structural relaxation.

abc: 6.1707 10.6778 11.7984
angles: 90.00 99.99 90.00
Closest atoms and distances in Å follow each position.
Space group C2/m (No. 12)
Inequivalent atoms, fractional coordinates:
Nd  0.0000  0.1666  0.0000 (multiplicity 4)  3 Nd 3.56, 3 Er 3.56, 6 Ho 3.57-3.58
Y  0.0000  0.0000  0.5000 (multiplicity 2)  6 Ho 3.55, 6 Y 3.56
Y  0.0000  0.3336  0.5000 (multiplicity 4)  6 Ho 3.54-3.55, 6 Y 3.55-3.57
Ho  0.2478  0.5000  0.7486 (multiplicity 4)  3 Y 3.54-3.55, 6 Ho 3.55-3.57, 1 Er 3.57, 2 Nd 3.58
Ho  0.2494  0.1662  0.7488 (multiplicity 8)  3 Y 3.55, 6 Ho 3.55-3.57, 2 Nd 3.57, 1 Er 3.57
Er  0.0000  0.5000  0.0000 (multiplicity 2)  6 Nd 3.56, 6 Ho 3.57

***

Record 7
Density functional theory data (PBE) for NdYHo3Er after structural relaxation.

abc: 18.4769 5.7386 7.3351
angles: 90.00 90.31 90.00
Closest atoms and distances in Å follow each position.
Space group C2/m (No. 12)
Inequivalent atoms, fractional coordinates:
Nd  0.0379  0.0000  0.2514 (multiplicity 4)  3 Ho 3.08-3.27
Y  0.1481  0.5000  0.0368 (multiplicity 4)  1 Er 3.10, 2 Ho 3.14-3.30
Ho  0.0230  0.5000  0.7447 (multiplicity 4)  2 Nd 3.08, 1 Er 3.14, 1 Y 3.14
Ho  0.1719  0.0000  0.7462 (multiplicity 4)  4 Ho 3.55-3.78, 3 Er 3.58-3.64, 3 Y 3.60-3.68, 1 Nd 3.88
Ho  0.2151  0.0000  0.2509 (multiplicity 4)  1 Nd 3.27, 3 Er 3.28-3.48, 3 Y 3.30-3.49, 2 Ho 3.55
Er  0.1489  0.5000  0.4593 (multiplicity 4)  1 Y 3.10, 2 Ho 3.14-3.28

***

Record 8
Density functional theory data (PBE) for Nd2Y6Ho3Er after structural relaxation.

abc: 6.1917 10.7137 11.8304
angles: 90.00 100.00 90.00
Closest atoms and distances in Å follow each position.
Space group C2/m (No. 12)
Inequivalent atoms, fractional coordinates:
Nd  0.0000  0.1666  0.0000 (multiplicity 4)  3 Nd 3.57, 3 Er 3.57, 6 Y 3.59-3.60
Y  0.2479  0.5000  0.7473 (multiplicity 4)  3 Ho 3.54-3.55, 6 Y 3.56-3.58, 1 Er 3.59, 2 Nd 3.60
Y  0.2493  0.1662  0.7475 (multiplicity 8)  3 Ho 3.54-3.55, 6 Y 3.56-3.58, 1 Er 3.59, 2 Nd 3.59-3.60
Ho  0.0000  0.0000  0.5000 (multiplicity 2)  6 Y 3.54-3.55, 6 Ho 3.57
Ho  0.0000  0.3336  0.5000 (multiplicity 4)  6 Y 3.54-3.55, 6 Ho 3.57-3.58
Er  0.0000  0.5000  0.0000 (multiplicity 2)  6 Nd 3.57, 6 Y 3.59

***

| no. | calculated total energy (eV per atom) |
| --- | --- |
| 1 | -5.40 |
| 2 | -4.61 |
| 3 | -4.76 |
| 4 | -5.03 |
| 5 | -5.51 |
| 6 | -5.06 |
| 7 | -4.73 |
| 8 | -5.53 |